1.
An optimized crystal structure of Y2ErIn2Ag2. Source: Alexandria, functional PBE.

Calculated values
- density (g cm⁻³) = 7.3
- symmetry = R-3m (166)
- DFT formation energy (eV per atom) = -0.284

Lattice parameters (Å, degrees): 9.4045 9.4045 9.4045 29.68 29.68 29.68
Last column: nearest neighbours and their distance in Å.
Sites, in units of the cell vectors:
Y 0.1256 0.1256 0.1256  3 In 3.13, 3 Ag 3.29, 1 Er 3.39
Y 0.8744 0.8744 0.8744  3 In 3.13, 3 Ag 3.29, 1 Er 3.39
Er 0.0000 0.0000 0.0000  6 Ag 3.22, 2 Y 3.39, 6 In 3.40
In 0.2606 0.2606 0.2606  3 Ag 2.80, 3 Y 3.13
In 0.7394 0.7394 0.7394  3 Ag 2.80, 3 Y 3.13
Ag 0.3938 0.3938 0.3938  3 In 2.80
Ag 0.6062 0.6062 0.6062  3 In 2.80

2.
An optimized crystal structure of Th2TcSe. Source: Alexandria, functional PBE.

Calculated values
- excess energy over the best structure of this formula in the dataset (meV/atom) = 106
- density (g cm⁻³) = 11.1
- symmetry = P4/mmm (123)
- uncorrected formation energy (eV per atom) = -0.72

Lattice parameters (Å, degrees): 3.5280 3.5280 7.6802 90.00 90.00 90.00
Last column: nearest neighbours and their distance in Å.
Sites, in units of the cell vectors:
Th 0.0000 0.0000 0.2321  4 Tc 3.07, 4 Se 3.23
Th 0.0000 0.0000 0.7679  4 Tc 3.07, 4 Se 3.23
Tc 0.5000 0.5000 0.0000  8 Th 3.07
Se 0.5000 0.5000 0.5000  8 Th 3.23, 4 Se 3.53

3.
An optimized crystal structure of Sc5Zn3Cd. Source: Alexandria, functional PBE.

Calculated values
- density (g cm⁻³) = 4.8
- symmetry = P6_3/mcm (193)
- DFT formation energy (eV per atom) = -0.243

Lattice parameters (Å, degrees): 8.3706 8.3706 6.0682 90.00 90.00 120.00
Last column: nearest neighbours and their distance in Å.
Sites, in units of the cell vectors:
Sc 0.0000 0.3161 0.2500  5 Zn 2.73-3.05, 2 Cd 3.05
Sc 0.0000 0.6839 0.7500  5 Zn 2.73-3.05, 2 Cd 3.05
Sc 0.3161 0.0000 0.2500  5 Zn 2.73-3.05, 2 Cd 3.05
Sc 0.3161 0.3161 0.7500  5 Zn 2.73-3.05, 2 Cd 3.05
Sc 0.3333 0.6667 0.0000  8 Sc 3.03-3.24, 6 Zn 3.09
Sc 0.3333 0.6667 0.5000  8 Sc 3.03-3.24, 6 Zn 3.09
Sc 0.6667 0.3333 0.0000  8 Sc 3.03-3.24, 6 Zn 3.09
Sc 0.6667 0.3333 0.5000  8 Sc 3.03-3.24, 6 Zn 3.09
Sc 0.6839 0.0000 0.7500  5 Zn 2.73-3.05, 2 Cd 3.05
Sc 0.6839 0.6839 0.2500  5 Zn 2.73-3.05, 2 Cd 3.05
Zn 0.0000 0.3571 0.7500  5 Sc 2.73-3.05
Zn 0.0000 0.6429 0.2500  5 Sc 2.73-3.05
Zn 0.3571 0.0000 0.7500  5 Sc 2.73-3.05
Zn 0.3571 0.3571 0.2500  5 Sc 2.73-3.05
Zn 0.6429 0.0000 0.2500  5 Sc 2.73-3.05
Zn 0.6429 0.6429 0.7500  5 Sc 2.73-3.05
Cd 0.0000 0.0000 0.0000  2 Cd 3.03, 6 Sc 3.05, 6 Zn 3.35
Cd 0.0000 0.0000 0.5000  2 Cd 3.03, 6 Sc 3.05, 6 Zn 3.35

For reference, DOS at the Fermi energy by record: 0.69, 0.65, 1.10 states/eV per atom.